Record 1
Here is crystalline LaTbS at its relaxed geometry from the Alexandria database. Energies are from GGA-PBE.

Cell: 3.898 5.511 8.013 Å, 90.00 90.00 90.00°
Space group Pmmn (No. 59, origin choice 2)
Symmetry-distinct sites (fractional):
1 La 0.250 0.250 0.113 (multiplicity 2)
2 Tb 0.250 0.250 0.621 (multiplicity 2)
3 S 0.250 0.750 0.616 (multiplicity 2)

* uncorrected formation energy: -1.284 eV per atom
* E_tot: -5.846 eV per atom
* density: 6.37 g/cm³
* energy above the most stable polymorph in this dataset: 0.0 meV/atom
* total moment: 0.00 μB per formula unit

=====

Record 2
Here is crystalline Cs4Nd3UTe8 at its relaxed geometry from the Alexandria database. Energies are from GGA-PBE.

Cell: 9.3275 9.3275 26.8694 Å, 90.00 90.00 120.00°
Space group R-3m (No. 166, hexagonal axes)
Symmetry-distinct sites (fractional):
1 Cs 0.0000 0.0000 0.0000 (multiplicity 3)
2 Cs 0.0000 0.5000 0.0000 (multiplicity 9)
3 Nd 0.0000 0.5000 0.5000 (multiplicity 9)
4 U 0.0000 0.0000 0.5000 (multiplicity 3)
5 Te 0.0000 0.0000 0.2320 (multiplicity 6)
6 Te 0.0031 0.5016 0.2314 (multiplicity 18)

* uncorrected formation energy: -1.266 eV per atom
* E_tot: -4.649 eV per atom
* density: 5.47 g/cm³
* total moment: 2.96 μB per formula unit

=====

Record 3
Here is crystalline CsKGe2 at its relaxed geometry from the Alexandria database. Energies are from GGA-PBE.

Cell: 8.286 8.286 8.286 Å, 90.00 90.00 90.00°
Space group Fm-3m (No. 225)
Symmetry-distinct sites (fractional):
1 Cs 0.000 0.000 0.000 (multiplicity 4)
2 K 0.000 0.000 0.500 (multiplicity 4)
3 Ge 0.250 0.250 0.250 (multiplicity 8)

* E_tot: -2.313 eV per atom
* ΔE_f: 0.483 eV/atom
* density: 3.70 g/cm³
* energy above the most stable polymorph in this dataset: 590.1 meV/atom
* total moment: 0.00 μB per formula unit

=====

Record 4
Here is crystalline ScRhPb2 at its relaxed geometry from the Alexandria database. Energies are from GGA-PBE.

Cell: 4.291 4.291 9.459 Å, 90.00 90.00 90.00°
Space group I-4m2 (No. 119)
Symmetry-distinct sites (fractional):
1 Sc 0.000 0.000 0.000 (multiplicity 2)
2 Rh 0.000 0.500 0.250 (multiplicity 2)
3 Pb 0.000 0.000 0.500 (multiplicity 2)
4 Pb 0.000 0.500 0.750 (multiplicity 2)

* E_tot: -5.440 eV per atom
* ΔE_f: -0.166 eV/atom
* density: 10.72 g/cm³
* total moment: 0.00 μB per formula unit

=====

Record 5
Here is crystalline K3TeSe2 at its relaxed geometry from the Alexandria database. Energies are from GGA-PBE.

Cell: 7.681 14.426 8.095 Å, 90.00 90.00 90.00°
Space group Ibam (No. 72)
Symmetry-distinct sites (fractional):
1 K 0.000 0.000 0.250 (multiplicity 4)
2 K 0.000 0.282 0.250 (multiplicity 8)
3 Te 0.000 0.500 0.000 (multiplicity 4)
4 Se 0.221 0.132 0.000 (multiplicity 8)

* uncorrected formation energy: -0.843 eV per atom
* E_tot: -3.077 eV per atom
* density: 2.98 g/cm³
* energy above the most stable polymorph in this dataset: 13.5 meV/atom
* total moment: 0.14 μB per formula unit

=====

Record 6
Here is crystalline KAgBr2 at its relaxed geometry from the Alexandria database. Energies are from GGA-PBE.

Cell: 4.376 4.376 6.661 Å, 90.00 90.00 90.00°
Space group P4mm (No. 99)
Symmetry-distinct sites (fractional):
1 K 0.000 0.000 0.000 (multiplicity 1)
2 Ag 0.500 0.500 0.461 (multiplicity 1)
3 Br 0.000 0.000 0.512 (multiplicity 1)
4 Br 0.500 0.500 0.052 (multiplicity 1)

* uncorrected formation energy: -0.956 eV per atom
* E_tot: -2.780 eV per atom
* density: 3.99 g/cm³
* total moment: 0.00 μB per formula unit

=====

Record 7
Here is crystalline Sr2GaSb at its relaxed geometry from the Alexandria database. Energies are from GGA-PBE.

Cell: 8.757 8.757 7.423 Å, 90.00 90.00 90.00°
Space group I-42d (No. 122)
Symmetry-distinct sites (fractional):
1 Sr 0.249 0.250 0.125 (multiplicity 8)
2 Ga 0.000 0.000 0.000 (multiplicity 4)
3 Sb 0.000 0.000 0.500 (multiplicity 4)

* uncorrected formation energy: -0.350 eV per atom
* E_tot: -2.978 eV per atom
* density: 4.28 g/cm³
* energy above the most stable polymorph in this dataset: 284.6 meV/atom
* total moment: 0.00 μB per formula unit

=====

Record 8
Here is crystalline ZnTcO2 at its relaxed geometry from the Alexandria database. Energies are from GGA-PBE.

Cell: 4.923 4.923 8.373 Å, 90.00 90.00 90.00°
Space group I-42d (No. 122)
Symmetry-distinct sites (fractional):
1 Zn 0.000 0.000 0.000 (multiplicity 4)
2 Tc 0.000 0.000 0.500 (multiplicity 4)
3 O 0.234 0.250 0.125 (multiplicity 8)

* uncorrected formation energy: -0.548 eV per atom
* E_tot: -5.937 eV per atom
* density: 6.40 g/cm³
* total moment: 1.08 μB per formula unit

=====

Record 9
Here is crystalline BaAs2Ru at its relaxed geometry from the Alexandria database. Energies are from GGA-PBE.

Cell: 3.476 3.487 7.396 Å, 90.00 90.00 90.00°
Space group Pmm2 (No. 25)
Symmetry-distinct sites (fractional):
1 Ba 0.000 0.000 0.000 (multiplicity 1)
2 As 0.000 0.000 0.463 (multiplicity 1)
3 As 0.500 0.500 0.693 (multiplicity 1)
4 Ru 0.500 0.500 0.354 (multiplicity 1)

* E_tot: -5.153 eV per atom
* ΔE_f: -0.029 eV/atom
* density: 7.19 g/cm³
* total moment: 0.17 μB per formula unit

=====

Record 10
Here is crystalline GaAgSn at its relaxed geometry from the Alexandria database. Energies are from GGA-PBE.

Cell: 6.545 3.052 6.815 Å, 90.00 106.99 90.00°
Space group P2_1/m (No. 11)
Symmetry-distinct sites (fractional):
1 Ga 0.062 0.250 0.201 (multiplicity 2)
2 Ag 0.359 0.750 0.095 (multiplicity 2)
3 Sn 0.275 0.750 0.617 (multiplicity 2)

* E_tot: -3.250 eV per atom
* ΔE_f: 0.043 eV/atom
* density: 7.56 g/cm³
* total moment: 0.00 μB per formula unit

=====

Record 11
Here is crystalline AcHfIr at its relaxed geometry from the Alexandria database. Energies are from GGA-PBE.

Cell: 4.681 4.681 7.148 Å, 90.00 90.00 90.00°
Space group P4/nmm (No. 129, origin choice 2)
Symmetry-distinct sites (fractional):
1 Ac 0.250 0.250 0.131 (multiplicity 2)
2 Hf 0.250 0.750 0.500 (multiplicity 2)
3 Ir 0.250 0.250 0.689 (multiplicity 2)

* E_tot: -8.310 eV per atom
* ΔE_f: -0.669 eV/atom
* density: 12.68 g/cm³
* total moment: 0.00 μB per formula unit

=====

Record 12
Here is crystalline TbCeMg at its relaxed geometry from the Alexandria database. Energies are from GGA-PBE.

Cell: 3.4154 3.4154 8.5134 Å, 90.00 90.00 120.00°
Space group P3m1 (No. 156)
Symmetry-distinct sites (fractional):
1 Tb 0.0000 0.0000 0.0000 (multiplicity 1)
2 Ce 0.3333 0.6667 0.6606 (multiplicity 1)
3 Mg 0.6667 0.3333 0.3267 (multiplicity 1)

* E_tot: -3.977 eV per atom
* ΔE_f: 0.076 eV/atom
* density: 6.24 g/cm³
* energy above the most stable polymorph in this dataset: 37.3 meV/atom
* total moment: 0.96 μB per formula unit